VASP calculation (GGA-PBE) on Tb4Pr2NdMg after structural relaxation.

## Properties
calculated formation energy	0.027	eV/atom
crystal system	monoclinic
electronic total energy	-4.28	eV/atom
Fermi-level density of states	1.486	states/eV per atom

Cell: 5.030 5.016 10.291 Å, 90.00 90.05 90.00°
Fractional coordinates of all 8 atoms:
Tb: 0.000 0.000 0.000
Tb: 0.000 0.000 0.493
Tb: 0.500 0.500 0.000
Tb: 0.500 0.500 0.493
Pr: 0.000 0.500 0.247
Pr: 0.500 0.000 0.747
Nd: 0.000 0.500 0.747
Mg: 0.499 0.000 0.247